--- i ---
This record from the Alexandria database describes a relaxed structure of Tm5Tl2. The functional is PBE.

Computed properties:
DOS(E_F), states/eV/f.u.: 6.7

Cell: 19.313 19.313 4.606 Å, 90.00 90.00 166.43°
Fractional coordinates of all 14 atoms:
Tm (0.033, 0.967, 0.750)
Tm (0.110, 0.890, 0.250)
Tm (0.255, 0.745, 0.750)
Tm (0.326, 0.674, 0.250)
Tm (0.462, 0.538, 0.750)
Tm (0.538, 0.462, 0.250)
Tm (0.674, 0.326, 0.750)
Tm (0.745, 0.255, 0.250)
Tm (0.890, 0.110, 0.750)
Tm (0.967, 0.033, 0.250)
Tl (0.191, 0.809, 0.250)
Tl (0.405, 0.595, 0.250)
Tl (0.595, 0.405, 0.750)
Tl (0.809, 0.191, 0.750)


--- ii ---
This record from the Alexandria database describes a relaxed structure of Tm5Tl2. The functional is PBE.

Computed properties:
DOS(E_F), states/eV/f.u.: 6.1

Cell: 8.497 8.497 9.217 Å, 100.26 100.26 36.61°
Fractional coordinates of all 14 atoms:
Tm (0.019, 0.521, 0.673)
Tm (0.111, 0.610, 0.037)
Tm (0.250, 0.750, 0.750)
Tm (0.390, 0.889, 0.463)
Tm (0.479, 0.981, 0.827)
Tm (0.521, 0.019, 0.173)
Tm (0.610, 0.111, 0.537)
Tm (0.750, 0.250, 0.250)
Tm (0.889, 0.390, 0.963)
Tm (0.981, 0.479, 0.327)
Tl (0.175, 0.676, 0.392)
Tl (0.324, 0.825, 0.108)
Tl (0.676, 0.175, 0.892)
Tl (0.825, 0.324, 0.608)


Computed stability ranking, most favorable first: ii, i


--- i ---
This record from the Alexandria database describes a relaxed structure of Tm5Tl. The functional is PBE.

Computed properties:
DOS(E_F), states/eV/f.u.: 6.2

Cell: 3.531 3.531 13.986 Å, 90.00 90.00 90.00°
Fractional coordinates of all 6 atoms:
Tm (0.000, 0.000, 0.000)
Tm (0.000, 0.000, 0.348)
Tm (0.000, 0.000, 0.652)
Tm (0.500, 0.500, 0.175)
Tm (0.500, 0.500, 0.825)
Tl (0.500, 0.500, 0.500)


--- ii ---
This record from the Alexandria database describes a relaxed structure of Tm5Tl. The functional is PBE.

Computed properties:
DOS(E_F), states/eV/f.u.: 5.3

Cell: 4.809 14.831 4.801 Å, 90.00 90.00 90.00°
Fractional coordinates of all 12 atoms:
Tm (0.000, 0.000, 0.000)
Tm (0.000, 0.163, 0.500)
Tm (0.000, 0.330, 0.000)
Tm (0.000, 0.670, 0.000)
Tm (0.000, 0.837, 0.500)
Tm (0.500, 0.170, 0.000)
Tm (0.500, 0.337, 0.500)
Tm (0.500, 0.500, 0.000)
Tm (0.500, 0.663, 0.500)
Tm (0.500, 0.830, 0.000)
Tl (0.000, 0.500, 0.500)
Tl (0.500, 0.000, 0.500)


Computed stability ranking, most favorable first: ii, i


--- i ---
This record from the Alexandria database describes a relaxed structure of Tm4Tl. The functional is PBE.

Computed properties:
DOS(E_F), states/eV/f.u.: 4.5

Cell: 5.194 3.486 8.462 Å, 90.00 107.81 90.00°
Fractional coordinates of all 5 atoms:
Tm (0.111, 0.000, 0.222)
Tm (0.303, 0.500, 0.606)
Tm (0.697, 0.500, 0.394)
Tm (0.889, 0.000, 0.778)
Tl (0.500, 0.500, 0.000)


--- ii ---
This record from the Alexandria database describes a relaxed structure of Tm4Tl. The functional is PBE.

Computed properties:
DOS(E_F), states/eV/f.u.: 5.5

Cell: 9.113 9.113 6.794 Å, 99.49 99.49 30.45°
Fractional coordinates of all 10 atoms:
Tm (0.000, 0.000, 0.000)
Tm (0.000, 0.000, 0.500)
Tm (0.196, 0.196, 0.596)
Tm (0.204, 0.204, 0.103)
Tm (0.395, 0.395, 0.708)
Tm (0.605, 0.605, 0.292)
Tm (0.796, 0.796, 0.897)
Tm (0.804, 0.804, 0.404)
Tl (0.406, 0.406, 0.208)
Tl (0.594, 0.594, 0.792)


--- iii ---
This record from the Alexandria database describes a relaxed structure of Tm4Tl. The functional is PBE.

Computed properties:
DOS(E_F), states/eV/f.u.: 7.2

Cell: 5.659 5.659 5.659 Å, 90.00 90.00 90.00°
Fractional coordinates of all 5 atoms:
Tm (0.000, 0.000, 0.000)
Tm (0.000, 0.500, 0.500)
Tm (0.500, 0.000, 0.500)
Tm (0.500, 0.500, 0.000)
Tl (0.500, 0.500, 0.500)


Computed stability ranking, most favorable first: ii, i, iii